This record from OQMD via LeMat-Bulk describes a relaxed Ba2AcHg3 crystal. The functional is PBE-GGA.

abc: 4.121 4.121 12.464
angles: 90.00 90.00 90.00
Element x y z (fractional)
1 Ba 0.000 0.000 0.171
2 Ba 0.000 0.000 0.829
3 Ac 0.000 0.000 0.500
4 Hg 0.500 0.500 0.000
5 Hg 0.500 0.500 0.348
6 Hg 0.500 0.500 0.652

## Properties
VASP energy = -1.9897 eV per atom